Entry 1:
CrP4O12 at its PBEsol-relaxed geometry. Source: Alexandria, functional meta-GGA SCAN.

Geometry as POSCAR:
```
CrP4O12
1.0
8.406 -6.253 0.000
8.406 6.253 0.000
-1.105 0.000 4.991
Cr P O
2 8 24
Cartesian
4.203 3.126 0.000
4.203 -3.126 0.000
6.125 3.452 4.146
4.543 1.511 2.648
9.582 3.452 0.845
4.543 -1.511 2.648
11.165 1.511 2.343
6.125 -3.452 4.146
11.165 -1.511 2.343
9.582 -3.452 0.845
6.458 4.696 3.466
3.362 2.011 3.441
6.012 3.422 0.112
4.414 1.581 1.145
9.249 4.696 1.525
5.884 2.191 3.127
8.406 2.754 0.000
4.841 0.000 3.033
9.695 3.422 4.879
4.414 -1.581 1.145
3.362 -2.011 3.441
9.824 2.191 1.864
5.884 -2.191 3.127
12.346 2.011 1.550
11.294 1.581 3.846
6.012 -3.422 0.112
10.867 0.000 1.958
8.406 -2.754 0.000
9.824 -2.191 1.864
6.458 -4.696 3.466
11.294 -1.581 3.846
9.695 -3.422 4.879
12.346 -2.011 1.550
9.249 -4.696 1.525
```

Calculated values
Its space group is C2/m, No. 12. The value obtained for the formation energy (no corrections) is -2243 meV/atom.

---

Entry 2:
Mn5Ir at its PBEsol-relaxed geometry. Source: Alexandria, functional meta-GGA SCAN.

Geometry as POSCAR:
```
Mn5Ir
1.0
3.993 0.000 0.000
0.000 1.273 6.494
0.000 -1.273 6.494
Mn Ir
5 1
Cartesian
0.000 0.000 0.000
0.000 0.000 4.169
0.000 0.000 8.587
1.997 0.000 1.445
1.997 0.000 9.988
1.997 0.000 5.715
```

Calculated values
Its space group is Amm2, No. 38. The calculation puts the formation energy at -0.0511 eV/atom.

---

Entry 3:
MgInCu4 at its PBEsol-relaxed geometry. Source: Alexandria, functional meta-GGA SCAN.

Geometry as POSCAR:
```
MgInCu4
1.0
0.000 3.469 3.469
3.469 0.000 3.469
3.469 3.469 0.000
Mg In Cu
1 1 4
Cartesian
0.000 0.000 0.000
5.203 5.203 5.203
2.600 2.600 2.600
4.337 4.337 2.600
4.337 2.600 4.337
2.600 4.337 4.337
```

Calculated values
Its space group is F-43m, No. 216. The calculation puts the formation energy at -0.1342 eV/atom.

---

Entry 4:
Na5LaO4 at its PBEsol-relaxed geometry. Source: Alexandria, functional meta-GGA SCAN.

Geometry as POSCAR:
```
Na5LaO4
1.0
7.559 0.000 0.000
0.000 8.068 0.000
0.000 0.000 5.565
Na La O
10 2 8
Cartesian
0.054 0.487 1.383
0.054 3.547 1.383
1.890 6.051 1.547
3.725 0.487 1.383
3.725 3.547 1.383
3.833 4.521 4.183
3.833 7.581 4.183
5.669 2.017 4.019
7.504 4.521 4.183
7.504 7.581 4.183
1.890 2.017 4.001
5.669 6.051 1.564
0.054 2.017 5.255
1.890 0.065 2.807
1.890 3.969 2.807
3.725 2.017 5.255
3.834 6.051 0.311
5.669 4.100 2.759
5.669 8.003 2.759
7.504 6.051 0.311
```

Calculated values
Its space group is Pmmn, No. 59. The value obtained for the formation energy (no corrections) is -1912 meV/atom.

---

Entry 5:
Na2LiScGa at its PBEsol-relaxed geometry. Source: Alexandria, functional meta-GGA SCAN.

Geometry as POSCAR:
```
Na2LiScGa
1.0
5.948 0.000 0.000
0.000 5.948 0.000
0.000 0.000 5.255
Na Li Sc Ga
2 1 1 1
Cartesian
0.000 2.974 0.000
2.974 0.000 0.000
0.000 0.000 2.627
0.000 0.000 0.000
2.974 2.974 2.627
```

Calculated values
Its space group is P4/mmm, No. 123. The calculation puts the formation energy at 1.0589 eV/atom.

---

Entry 6:
SrLa2Co3O9 at its PBEsol-relaxed geometry. Source: Alexandria, functional meta-GGA SCAN.

Geometry as POSCAR:
```
SrLa2Co3O9
1.0
4.625 -2.670 0.000
4.625 2.670 0.000
0.000 0.000 6.546
Sr La Co O
1 2 3 9
Cartesian
0.000 0.000 0.000
3.082 0.000 4.356
6.166 0.000 2.189
9.248 0.000 3.273
3.083 0.000 1.063
6.167 0.000 5.482
2.316 1.334 6.542
1.565 0.000 2.230
3.836 1.312 2.235
5.407 1.311 4.312
2.316 -1.334 6.542
4.630 0.000 0.007
3.836 -1.312 2.235
5.407 -1.311 4.312
7.678 0.000 4.310
```

Calculated values
Its space group is Cm, No. 8. The value obtained for the formation energy (no corrections) is -2406 meV/atom.

---

Entry 7:
CsTlSb2Te at its PBEsol-relaxed geometry. Source: Alexandria, functional meta-GGA SCAN.

Geometry as POSCAR:
```
CsTlSb2Te
1.0
6.108 0.000 0.000
0.000 6.108 0.000
0.000 0.000 6.238
Cs Tl Sb Te
1 1 2 1
Cartesian
0.000 0.000 0.000
3.054 3.054 3.119
0.000 3.054 0.000
3.054 0.000 0.000
0.000 0.000 3.119
```

Calculated values
Its space group is P4/mmm, No. 123. The value obtained for the formation energy (no corrections) is 1138 meV/atom.

---

Entry 8:
NbCu2SiBi at its PBEsol-relaxed geometry. Source: Alexandria, functional meta-GGA SCAN.

Geometry as POSCAR:
```
NbCu2SiBi
1.0
4.658 0.000 0.000
0.000 4.658 0.000
0.000 0.000 5.398
Nb Cu Si Bi
1 2 1 1
Cartesian
0.000 0.000 0.000
0.000 2.329 2.699
2.329 0.000 2.699
2.329 2.329 0.000
2.329 2.329 2.699
```

Calculated values
Its space group is P4/mmm, No. 123. The value obtained for the formation energy (no corrections) is 1601 meV/atom.

---

Entry 9:
Sr4Li2Si4N8O at its PBEsol-relaxed geometry. Source: Alexandria, functional meta-GGA SCAN.

Geometry as POSCAR:
```
Sr4Li2Si4N8O
1.0
9.300 0.000 0.000
0.000 9.300 0.000
0.000 0.000 5.567
Sr Li Si N O
8 4 8 16 2
Cartesian
0.524 2.466 0.000
2.184 4.126 2.784
2.466 8.776 0.000
4.126 7.116 2.784
5.174 2.184 2.784
6.834 0.524 0.000
7.116 5.174 2.784
8.776 6.834 0.000
0.000 0.000 1.767
0.000 0.000 3.800
4.650 4.650 1.017
4.650 4.650 4.551
1.106 7.142 2.784
2.159 1.106 2.784
2.492 5.756 0.000
3.544 2.492 0.000
5.756 6.809 0.000
6.809 3.544 0.000
7.142 8.195 2.784
8.195 2.159 2.784
0.601 1.903 2.784
1.602 6.252 1.392
1.602 6.252 4.176
1.903 8.699 2.784
2.747 4.049 0.000
3.048 1.602 1.392
3.048 1.602 4.176
4.049 6.553 0.000
5.251 2.747 0.000
6.252 7.698 1.392
6.252 7.698 4.176
6.553 5.251 0.000
7.398 0.601 2.784
7.698 3.048 1.392
7.698 3.048 4.176
8.699 7.398 2.784
0.000 0.000 0.000
4.650 4.650 2.784
```

Calculated values
Its space group is P4/mnc, No. 128. The value obtained for the formation energy (no corrections) is -1559 meV/atom.

---

Entry 10:
CrPtOF2 at its PBEsol-relaxed geometry. Source: Alexandria, functional meta-GGA SCAN.

Geometry as POSCAR:
```
CrPtOF2
1.0
4.307 0.000 0.000
0.000 4.307 0.000
0.000 0.000 3.832
Cr Pt O F
1 1 1 2
Cartesian
0.000 0.000 0.000
2.154 2.154 1.916
2.154 2.154 0.000
0.000 2.154 1.916
2.154 0.000 1.916
```

Calculated values
Its space group is P4/mmm, No. 123. The value obtained for the formation energy (no corrections) is -581 meV/atom.

---

Entry 11:
MnPPb3 at its PBEsol-relaxed geometry. Source: Alexandria, functional meta-GGA SCAN.

Geometry as POSCAR:
```
MnPPb3
1.0
5.035 0.000 0.000
0.000 5.035 0.000
0.000 0.000 5.035
Mn P Pb
1 1 3
Cartesian
0.000 0.000 0.000
2.517 2.517 2.517
0.000 0.000 2.517
0.000 2.517 0.000
2.517 0.000 0.000
```

Calculated values
Its space group is Pm-3m, No. 221. The calculation puts the formation energy at 0.5008 eV/atom.

---

Entry 12:
ScNb2Ga2 at its PBEsol-relaxed geometry. Source: Alexandria, functional meta-GGA SCAN.

Geometry as POSCAR:
```
ScNb2Ga2
1.0
7.045 0.000 0.000
0.000 7.045 0.000
0.000 0.000 3.472
Sc Nb Ga
2 4 4
Cartesian
0.000 0.000 0.000
3.522 3.522 0.000
1.217 2.306 1.736
2.306 5.828 1.736
4.739 1.217 1.736
5.828 4.739 1.736
0.884 4.406 0.000
2.638 0.884 0.000
4.406 6.160 0.000
6.160 2.638 0.000
```

Calculated values
Its space group is P4/mbm, No. 127. The calculation puts the formation energy at -0.4500 eV/atom.

---

Entry 13:
LiFe at its PBEsol-relaxed geometry. Source: Alexandria, functional meta-GGA SCAN.

Geometry as POSCAR:
```
LiFe
1.0
4.566 0.000 0.000
0.000 4.566 0.000
0.000 0.000 4.566
Li Fe
4 4
Cartesian
0.443 0.443 0.443
1.840 4.123 2.727
2.727 1.840 4.123
4.123 2.727 1.840
0.454 2.737 4.113
1.830 1.830 1.830
2.737 4.113 0.454
4.113 0.454 2.737
```

Calculated values
Its space group is P2_13, No. 198. The calculation puts the formation energy at 0.5295 eV/atom.

---

Entry 14:
MoS2N at its PBEsol-relaxed geometry. Source: Alexandria, functional meta-GGA SCAN.

Geometry as POSCAR:
```
MoS2N
1.0
-2.465 2.465 4.984
2.465 -2.465 4.984
2.465 2.465 -4.984
Mo S N
2 4 2
Cartesian
0.000 0.000 0.000
0.000 2.465 2.492
1.233 -1.034 3.738
1.431 1.233 1.246
1.233 3.500 -1.246
1.034 1.233 6.229
2.465 0.000 2.492
0.000 0.000 4.984
```

Calculated values
Its space group is I-42d, No. 122. The value obtained for the formation energy (no corrections) is 899 meV/atom.

---

Entry 15:
CoAsPb2 at its PBEsol-relaxed geometry. Source: Alexandria, functional meta-GGA SCAN.

Geometry as POSCAR:
```
CoAsPb2
1.0
3.215 0.000 0.000
0.000 3.215 0.000
0.000 0.000 8.046
Co As Pb
1 1 2
Cartesian
0.000 0.000 0.000
1.607 1.607 0.827
0.000 0.000 3.060
1.607 1.607 5.936
```

Calculated values
Its space group is P4mm, No. 99. The calculation puts the formation energy at 0.1985 eV/atom.

---

Entry 16:
K2SmCl5 at its PBEsol-relaxed geometry. Source: Alexandria, functional meta-GGA SCAN.

Geometry as POSCAR:
```
K2SmCl5
1.0
12.603 0.000 0.000
0.000 8.556 0.000
0.000 0.000 7.911
K Sm Cl
8 4 20
Cartesian
2.173 0.034 0.401
2.173 4.244 0.401
4.128 4.313 4.357
4.128 8.522 4.357
8.475 0.034 3.554
8.475 4.244 3.554
10.429 4.313 7.510
10.429 8.522 7.510
0.075 2.139 4.556
6.227 6.417 0.601
6.376 2.139 7.310
12.528 6.417 3.355
0.115 2.139 7.285
0.977 4.654 5.251
0.977 8.181 5.251
2.251 2.139 2.946
2.560 6.417 2.659
3.741 2.139 6.615
4.051 6.417 6.902
5.325 0.376 1.296
5.325 3.903 1.296
6.186 6.417 3.329
6.417 2.139 4.582
7.278 4.654 6.616
7.278 8.181 6.616
8.552 2.139 1.010
8.862 6.417 1.297
10.043 2.139 5.252
10.352 6.417 4.965
11.626 0.376 2.660
11.626 3.903 2.660
12.487 6.417 0.627
```

Calculated values
Its space group is Pnma, No. 62. The value obtained for the formation energy (no corrections) is -2435 meV/atom.

---

Entry 17:
KZrReH2 at its PBEsol-relaxed geometry. Source: Alexandria, functional meta-GGA SCAN.

Geometry as POSCAR:
```
KZrReH2
1.0
4.050 0.000 0.000
0.000 4.050 0.000
0.000 0.000 4.840
K Zr Re H
1 1 1 2
Cartesian
0.000 0.000 0.000
2.025 2.025 0.000
2.025 2.025 2.420
0.000 2.025 2.420
2.025 0.000 2.420
```

Calculated values
Its space group is P4/mmm, No. 123. Its total energy is -110.99 eV per formula unit.

---

Entry 18:
LaIn2Re at its PBEsol-relaxed geometry. Source: Alexandria, functional meta-GGA SCAN.

Geometry as POSCAR:
```
LaIn2Re
1.0
0.000 3.520 3.520
3.520 0.000 3.520
3.520 3.520 0.000
La In Re
1 2 1
Cartesian
0.000 0.000 0.000
1.760 1.760 1.760
3.520 3.520 3.520
5.280 5.280 5.280
```

Calculated values
Its space group is F-43m, No. 216. The calculation puts the formation energy at 0.4109 eV/atom.

---

Entry 19:
Fe3Ir at its PBEsol-relaxed geometry. Source: Alexandria, functional meta-GGA SCAN.

Geometry as POSCAR:
```
Fe3Ir
1.0
4.070 2.350 0.856
-4.070 2.350 0.856
0.000 -4.700 0.856
Fe Ir
3 1
Cartesian
-2.035 -1.175 0.856
-2.035 1.175 1.712
0.000 2.350 0.856
0.000 0.000 0.000
```

Calculated values
Its space group is R-3m, No. 166. The calculation puts the formation energy at -0.1602 eV/atom.

---

Entry 20:
Y2ReNiBr at its PBEsol-relaxed geometry. Source: Alexandria, functional meta-GGA SCAN.

Geometry as POSCAR:
```
Y2ReNiBr
1.0
5.412 0.000 0.000
0.000 5.412 0.000
0.000 0.000 4.367
Y Re Ni Br
2 1 1 1
Cartesian
0.000 2.706 0.000
2.706 0.000 0.000
0.000 0.000 0.000
0.000 0.000 2.184
2.706 2.706 2.184
```

Calculated values
Its space group is P4/mmm, No. 123. The value obtained for the formation energy (no corrections) is 75 meV/atom.